Record 1
This record from Alexandria describes an optimized crystal structure of SrCaMn2. The functional is PBE.

The value obtained for the size of the total moment is 7.45 μB per cell. As for the space group: Cm. As for the final energy: -4.957 eV/atom.

Unit cell a=6.201 b=6.201 c=5.521 alpha=109.16 beta=109.16 gamma=33.25
Positions (direct):
Sr 0.000 0.000 0.000
Ca 0.201 0.201 0.645
Mn 0.437 0.437 0.449
Mn 0.764 0.764 0.206

=====

Record 2
This record from Alexandria describes an optimized crystal structure of SrCaMn2. The functional is PBE.

The value obtained for the size of the total moment is 8.24 μB per cell. As for the space group: F-43m. As for the final energy: -4.828 eV/atom.

Unit cell a=5.307 b=5.307 c=5.307 alpha=60.00 beta=60.00 gamma=60.00
Positions (direct):
Sr 0.000 0.000 0.000
Ca 0.250 0.250 0.250
Mn 0.500 0.500 0.500
Mn 0.750 0.750 0.750

=====

no.,excess energy over the best structure of this formula in the dataset (meV per atom),formation energy (eV per atom)
1,45.9,0.548
2,175.3,0.678